[1]
Here is an optimized crystal structure of VGe2Os from the Alexandria database. Energies are from PBE.

Symmetry: Fm-3m, No. 225
Magnetic moment: 2.38 μB per formula unit
ρ: 11.0 g/cm³
Formation energy from the elements: 21 meV per atom

Unit cell a=4.3520 b=4.3520 c=4.3520 alpha=60.00 beta=60.00 gamma=60.00
With the nearest neighbours (Å) after each atom.
Sites, in units of the cell vectors:
V 0.0000 0.0000 0.0000  8 Ge 2.67
Ge 0.2500 0.2500 0.2500  4 Os 2.67, 4 V 2.67
Ge 0.7500 0.7500 0.7500  4 Os 2.67, 4 V 2.67
Os 0.5000 0.5000 0.5000  8 Ge 2.67

---

[2]
Here is an optimized crystal structure of VGeOs from the Alexandria database. Energies are from PBE.

Symmetry: Cm, No. 8
Magnetic moment: 0.00 μB per formula unit
ρ: 12.2 g/cm³
Formation energy from the elements: -70 meV per atom

Unit cell a=6.6283 b=6.6283 c=4.4252 alpha=98.73 beta=98.73 gamma=26.30
With the nearest neighbours (Å) after each atom.
Sites, in units of the cell vectors:
V 0.0000 0.0000 0.0000  2 V 2.58, 6 Os 2.63-2.68, 1 Ge 2.86
V 0.6641 0.6641 0.0456  5 Ge 2.54-2.69, 2 V 2.58, 2 Os 2.76
Ge 0.1551 0.1551 0.5381  3 Os 2.55-2.60, 4 V 2.67-2.69, 2 Ge 2.85
Ge 0.8329 0.8329 0.4290  1 V 2.54, 6 Os 2.55-2.72
Os 0.3308 0.3308 0.9173  5 Ge 2.60-2.72, 4 V 2.63-2.76
Os 0.4945 0.4945 0.4973  4 Ge 2.55, 4 V 2.68

---

[3]
Here is an optimized crystal structure of V2Ge4Os from the Alexandria database. Energies are from PBE.

Symmetry: I4/mmm, No. 139
Magnetic moment: 0.00 μB per formula unit
ρ: 7.0 g/cm³
Formation energy from the elements: 583 meV per atom

Unit cell a=7.0182 b=7.0182 c=7.0182 alpha=140.46 beta=140.46 gamma=57.15
With the nearest neighbours (Å) after each atom.
Sites, in units of the cell vectors:
V 0.0917 0.0917 0.0000  1 V 2.26, 1 Ge 2.52
V 0.9083 0.9083 0.0000  1 V 2.26, 1 Ge 2.52
Ge 0.0000 0.5000 0.5000  2 Os 2.37, 4 V 2.63
Ge 0.2959 0.2959 0.0000  1 Os 2.52, 1 V 2.52
Ge 0.5000 0.0000 0.5000  2 Os 2.37, 4 V 2.63
Ge 0.7041 0.7041 0.0000  1 Os 2.52, 1 V 2.52
Os 0.5000 0.5000 0.0000  6 Ge 2.37-2.52

---

[4]
Here is an optimized crystal structure of VGeOs3 from the Alexandria database. Energies are from PBE.

Symmetry: Pm-3m, No. 221
Magnetic moment: 0.98 μB per formula unit
ρ: 12.9 g/cm³
Formation energy from the elements: 1609 meV per atom

Unit cell a=4.4738 b=4.4738 c=4.4738 alpha=90.00 beta=90.00 gamma=90.00
With the nearest neighbours (Å) after each atom.
Sites, in units of the cell vectors:
V 0.0000 0.0000 0.0000  12 Os 3.16
Ge 0.5000 0.5000 0.5000  6 Os 2.24
Os 0.0000 0.5000 0.5000  2 Ge 2.24
Os 0.5000 0.0000 0.5000  2 Ge 2.24
Os 0.5000 0.5000 0.0000  2 Ge 2.24

---

[5]
Here is an optimized crystal structure of VGe2Os2 from the Alexandria database. Energies are from PBE.

Symmetry: P4/mbm, No. 127
Magnetic moment: 0.02 μB per formula unit
ρ: 13.0 g/cm³
Formation energy from the elements: 234 meV per atom

Unit cell a=7.1550 b=7.1550 c=2.8867 alpha=90.00 beta=90.00 gamma=90.00
With the nearest neighbours (Å) after each atom.
Sites, in units of the cell vectors:
V 0.0000 0.0000 0.0000  4 Ge 2.73, 2 V 2.89
V 0.5000 0.5000 0.0000  4 Ge 2.73, 2 V 2.89
Ge 0.1497 0.3503 0.0000  6 Os 2.49-2.58, 2 V 2.73
Ge 0.3503 0.8503 0.0000  6 Os 2.49-2.58, 2 V 2.73
Ge 0.6497 0.1497 0.0000  6 Os 2.49-2.58, 2 V 2.73
Ge 0.8503 0.6497 0.0000  6 Os 2.49-2.58, 2 V 2.73
Os 0.1498 0.6498 0.5000  6 Ge 2.49-2.58
Os 0.3502 0.1498 0.5000  6 Ge 2.49-2.58
Os 0.6498 0.8502 0.5000  6 Ge 2.49-2.58
Os 0.8502 0.3502 0.5000  6 Ge 2.49-2.58

---

[6]
Here is an optimized crystal structure of VGeOsW from the Alexandria database. Energies are from PBE.

Symmetry: F-43m, No. 216
Magnetic moment: 0.00 μB per formula unit
ρ: 14.3 g/cm³
Formation energy from the elements: 60 meV per atom

Unit cell a=4.3374 b=4.3374 c=4.3374 alpha=60.00 beta=60.00 gamma=60.00
With the nearest neighbours (Å) after each atom.
Sites, in units of the cell vectors:
V 0.0000 0.0000 0.0000  4 Os 2.66, 4 W 2.66
Ge 0.5000 0.5000 0.5000  4 Os 2.66, 4 W 2.66
Os 0.7500 0.7500 0.7500  4 Ge 2.66, 4 V 2.66
W 0.2500 0.2500 0.2500  4 Ge 2.66, 4 V 2.66